No. 1
# Mn2ZnRe (PBE, optimized geometry)
# Energy of formation from the pure elements ... 122 meV per atom
data_Mn2ZnRe
_space_group_name_H-M_alt 'P m m m'
_space_group_IT_number 47
_cell_length_a 2.786
_cell_length_b 3.486
_cell_length_c 5.401
_cell_angle_alpha 90.00
_cell_angle_beta 90.00
_cell_angle_gamma 90.00
loop_
_space_group_symop_operation_xyz
'x,y,z'
'-x,-y,-z'
'-x,-y,z'
'x,y,-z'
'x,-y,-z'
'-x,y,z'
'-x,y,-z'
'x,-y,z'
loop_
_atom_site_label
_atom_site_type_symbol
_atom_site_fract_x
_atom_site_fract_y
_atom_site_fract_z
_atom_site_occupancy
Mn1 Mn 0.000 0.000 0.244 1
Zn1 Zn 0.500 0.500 0.500 1
Re1 Re 0.500 0.500 0.000 1

---

No. 2
# Mn2ZnRe (PBE, optimized geometry)
# Energy of formation from the pure elements ... 218 meV per atom
data_Mn2ZnRe
_space_group_name_H-M_alt 'C 1 2/m 1'
_space_group_IT_number 12
_cell_length_a 8.710
_cell_length_b 2.589
_cell_length_c 4.708
_cell_angle_alpha 90.00
_cell_angle_beta 96.59
_cell_angle_gamma 90.00
loop_
_space_group_symop_operation_xyz
'x,y,z'
'-x,-y,-z'
'-x,y,-z'
'x,-y,z'
'x+1/2,y+1/2,z'
'-x+1/2,-y+1/2,-z'
'-x+1/2,y+1/2,-z'
'x+1/2,-y+1/2,z'
loop_
_atom_site_label
_atom_site_type_symbol
_atom_site_fract_x
_atom_site_fract_y
_atom_site_fract_z
_atom_site_occupancy
Mn1 Mn 0.248 0.000 0.250 1
Zn1 Zn 0.000 0.500 0.000 1
Re1 Re 0.000 0.000 0.500 1

---

No. 3
# MnZnRe2 (PBE, optimized geometry)
# Energy of formation from the pure elements ... 174 meV per atom
data_MnZnRe2
_space_group_name_H-M_alt 'I m m m'
_space_group_IT_number 71
_space_group_name_Hall '-I 2 2'
_cell_length_a 3.107
_cell_length_b 4.254
_cell_length_c 8.507
_cell_angle_alpha 90.00
_cell_angle_beta 90.00
_cell_angle_gamma 90.00
loop_
_atom_site_label
_atom_site_type_symbol
_atom_site_fract_x
_atom_site_fract_y
_atom_site_fract_z
_atom_site_occupancy
Mn1 Mn 0.000 0.000 0.000 1
Zn1 Zn 0.000 0.000 0.500 1
Re1 Re 0.000 0.500 0.256 1

---

No. 4
# MnZnRe2 (PBE, optimized geometry)
# Energy of formation from the pure elements ... 187 meV per atom
data_MnZnRe2
_space_group_name_H-M_alt 'P 1 m 1'
_space_group_IT_number 6
_cell_length_a 2.631
_cell_length_b 4.309
_cell_length_c 5.125
_cell_angle_alpha 90.00
_cell_angle_beta 101.35
_cell_angle_gamma 90.00
loop_
_space_group_symop_operation_xyz
'x,y,z'
'x,-y,z'
loop_
_atom_site_label
_atom_site_type_symbol
_atom_site_fract_x
_atom_site_fract_y
_atom_site_fract_z
_atom_site_occupancy
Mn1 Mn 0.000 0.000 0.000 1
Zn1 Zn 0.181 0.500 0.772 1
Re1 Re 0.480 0.000 0.503 1
Re2 Re 0.706 0.500 0.265 1

---

No. 5
# Mn3ZnRe (PBE, optimized geometry)
# Energy of formation from the pure elements ... 1308 meV per atom
data_Mn3ZnRe
_space_group_name_H-M_alt 'P m -3 m'
_space_group_IT_number 221
_space_group_name_Hall '-P 4 2 3'
_cell_length_a 4.636
_cell_length_b 4.636
_cell_length_c 4.636
_cell_angle_alpha 90.00
_cell_angle_beta 90.00
_cell_angle_gamma 90.00
loop_
_atom_site_label
_atom_site_type_symbol
_atom_site_fract_x
_atom_site_fract_y
_atom_site_fract_z
_atom_site_occupancy
Mn1 Mn 0.000 0.000 0.500 1
Zn1 Zn 0.500 0.500 0.500 1
Re1 Re 0.000 0.000 0.000 1

---

No. 6
# MnZnRe2 (PBE, optimized geometry)
# Energy of formation from the pure elements ... 170 meV per atom
data_MnZnRe2
_space_group_name_H-M_alt 'R 3 m'
_space_group_IT_number 160
_space_group_name_Hall 'R 3 -2"'
_cell_length_a 2.7215
_cell_length_b 2.7215
_cell_length_c 26.2109
_cell_angle_alpha 90.00
_cell_angle_beta 90.00
_cell_angle_gamma 120.00
loop_
_atom_site_label
_atom_site_type_symbol
_atom_site_fract_x
_atom_site_fract_y
_atom_site_fract_z
_atom_site_occupancy
Mn1 Mn 0.0000 0.0000 0.0000 1
Zn1 Zn 0.0000 0.0000 0.2524 1
Re1 Re 0.0000 0.0000 0.4974 1
Re2 Re 0.0000 0.0000 0.7446 1

---

No. 7
# MnZnRe2 (PBE, optimized geometry)
# Energy of formation from the pure elements ... 373 meV per atom
data_MnZnRe2
_space_group_name_H-M_alt 'P 4/m m m'
_space_group_IT_number 123
_space_group_name_Hall '-P 4 2'
_cell_length_a 4.381
_cell_length_b 4.381
_cell_length_c 2.867
_cell_angle_alpha 90.00
_cell_angle_beta 90.00
_cell_angle_gamma 90.00
loop_
_atom_site_label
_atom_site_type_symbol
_atom_site_fract_x
_atom_site_fract_y
_atom_site_fract_z
_atom_site_occupancy
Mn1 Mn 0.000 0.000 0.000 1
Zn1 Zn 0.500 0.500 0.000 1
Re1 Re 0.000 0.500 0.500 1

---

No. 8
# MnZnRe (PBE, optimized geometry)
# Energy of formation from the pure elements ... 172 meV per atom
data_MnZnRe
_space_group_name_H-M_alt 'F m m 2'
_space_group_IT_number 42
_space_group_name_Hall 'F 2 -2'
_cell_length_a 3.121
_cell_length_b 4.273
_cell_length_c 12.582
_cell_angle_alpha 90.00
_cell_angle_beta 90.00
_cell_angle_gamma 90.00
loop_
_atom_site_label
_atom_site_type_symbol
_atom_site_fract_x
_atom_site_fract_y
_atom_site_fract_z
_atom_site_occupancy
Mn1 Mn 0.000 0.000 0.000 1
Zn1 Zn 0.000 0.000 0.664 1
Re1 Re 0.000 0.000 0.344 1

---

No. 9
# MnZnRe (PBE, optimized geometry)
# Energy of formation from the pure elements ... 481 meV per atom
data_MnZnRe
_space_group_name_H-M_alt 'F -4 3 m'
_space_group_IT_number 216
_space_group_name_Hall 'F -4 2 3'
_cell_length_a 5.691
_cell_length_b 5.691
_cell_length_c 5.691
_cell_angle_alpha 90.00
_cell_angle_beta 90.00
_cell_angle_gamma 90.00
loop_
_atom_site_label
_atom_site_type_symbol
_atom_site_fract_x
_atom_site_fract_y
_atom_site_fract_z
_atom_site_occupancy
Mn1 Mn 0.000 0.000 0.000 1
Zn1 Zn 0.250 0.250 0.250 1
Re1 Re 0.250 0.250 0.750 1

---

No. 10
# Mn2ZnRe (PBE, optimized geometry)
# Energy of formation from the pure elements ... 206 meV per atom
data_Mn2ZnRe
_space_group_name_H-M_alt 'C m m 2'
_space_group_IT_number 35
_cell_length_a 3.139
_cell_length_b 4.136
_cell_length_c 8.157
_cell_angle_alpha 90.00
_cell_angle_beta 90.00
_cell_angle_gamma 90.00
loop_
_space_group_symop_operation_xyz
'x,y,z'
'-x,-y,z'
'-x,y,z'
'x,-y,z'
'x+1/2,y+1/2,z'
'-x+1/2,-y+1/2,z'
'-x+1/2,y+1/2,z'
'x+1/2,-y+1/2,z'
loop_
_atom_site_label
_atom_site_type_symbol
_atom_site_fract_x
_atom_site_fract_y
_atom_site_fract_z
_atom_site_occupancy
Mn1 Mn 0.000 0.000 0.000 1
Mn2 Mn 0.000 0.500 0.225 1
Zn1 Zn 0.000 0.500 0.747 1
Re1 Re 0.000 0.000 0.470 1

---

No. 11
# MnZnRe2 (PBE, optimized geometry)
# Energy of formation from the pure elements ... 159 meV per atom
data_MnZnRe2
_space_group_name_H-M_alt 'P 4/m m m'
_space_group_IT_number 123
_space_group_name_Hall '-P 4 2'
_cell_length_a 2.694
_cell_length_b 2.694
_cell_length_c 7.566
_cell_angle_alpha 90.00
_cell_angle_beta 90.00
_cell_angle_gamma 90.00
loop_
_atom_site_label
_atom_site_type_symbol
_atom_site_fract_x
_atom_site_fract_y
_atom_site_fract_z
_atom_site_occupancy
Mn1 Mn 0.000 0.000 0.000 1
Zn1 Zn 0.000 0.000 0.500 1
Re1 Re 0.500 0.500 0.230 1

---

No. 12
# MnZn4Re (PBE, optimized geometry)
# Energy of formation from the pure elements ... 213 meV per atom
data_MnZn4Re
_space_group_name_H-M_alt 'F -4 3 m'
_space_group_IT_number 216
_space_group_name_Hall 'F -4 2 3'
_cell_length_a 6.925
_cell_length_b 6.925
_cell_length_c 6.925
_cell_angle_alpha 90.00
_cell_angle_beta 90.00
_cell_angle_gamma 90.00
loop_
_atom_site_label
_atom_site_type_symbol
_atom_site_fract_x
_atom_site_fract_y
_atom_site_fract_z
_atom_site_occupancy
Mn1 Mn 0.000 0.000 0.000 1
Zn1 Zn 0.125 0.125 0.375 1
Re1 Re 0.250 0.250 0.750 1

---

No. 13
# Mn3ZnRe (PBE, optimized geometry)
# Energy of formation from the pure elements ... 1815 meV per atom
data_Mn3ZnRe
_space_group_name_H-M_alt 'P m -3 m'
_space_group_IT_number 221
_space_group_name_Hall '-P 4 2 3'
_cell_length_a 4.163
_cell_length_b 4.163
_cell_length_c 4.163
_cell_angle_alpha 90.00
_cell_angle_beta 90.00
_cell_angle_gamma 90.00
loop_
_atom_site_label
_atom_site_type_symbol
_atom_site_fract_x
_atom_site_fract_y
_atom_site_fract_z
_atom_site_occupancy
Mn1 Mn 0.000 0.000 0.500 1
Zn1 Zn 0.000 0.000 0.000 1
Re1 Re 0.500 0.500 0.500 1

---

No. 14
# MnZnRe (PBE, optimized geometry)
# Energy of formation from the pure elements ... 94 meV per atom
data_MnZnRe
_space_group_name_H-M_alt 'I 4 m m'
_space_group_IT_number 107
_space_group_name_Hall 'I 4 -2'
_cell_length_a 2.926
_cell_length_b 2.926
_cell_length_c 9.335
_cell_angle_alpha 90.00
_cell_angle_beta 90.00
_cell_angle_gamma 90.00
loop_
_atom_site_label
_atom_site_type_symbol
_atom_site_fract_x
_atom_site_fract_y
_atom_site_fract_z
_atom_site_occupancy
Mn1 Mn 0.000 0.000 0.000 1
Zn1 Zn 0.000 0.000 0.668 1
Re1 Re 0.000 0.000 0.358 1

---

No. 15
# MnZnRe2 (PBE, optimized geometry)
# Energy of formation from the pure elements ... 142 meV per atom
data_MnZnRe2
_space_group_name_H-M_alt 'R -3 m'
_space_group_IT_number 166
_space_group_name_Hall '-R 3 2"'
_cell_length_a 2.7117
_cell_length_b 2.7117
_cell_length_c 26.2672
_cell_angle_alpha 90.00
_cell_angle_beta 90.00
_cell_angle_gamma 120.00
loop_
_atom_site_label
_atom_site_type_symbol
_atom_site_fract_x
_atom_site_fract_y
_atom_site_fract_z
_atom_site_occupancy
Mn1 Mn 0.0000 0.0000 0.0000 1
Zn1 Zn 0.0000 0.0000 0.5000 1
Re1 Re 0.0000 0.0000 0.2550 1

---

Number 1: mass density 11.4 g/cm3. Number 2: mass density 11.4 g/cm3. Number 3: mass density 14.6 g/cm3. Number 4: mass density 14.4 g/cm3. Number 5: mass density 6.9 g/cm3. Number 6: mass density 14.6 g/cm3. Number 7: mass density 14.9 g/cm3. Number 8: mass density 12.1 g/cm3. Number 9: mass density 11.0 g/cm3. Number 10: mass density 11.3 g/cm3. Number 11: mass density 14.9 g/cm3. Number 12: mass density 10.1 g/cm3. Number 13: mass density 9.6 g/cm3. Number 14: mass density 12.7 g/cm3. Number 15: mass density 14.7 g/cm3.